This record from Alexandria via LeMat-Bulk describes La8RuAu3I4 after structural relaxation. The functional is PBE.

Lattice parameters (Å, degrees): 8.7649 9.6234 8.7660 117.11 120.00 90.00
Atoms (fractional coordinates):
1 La 0.2215 0.6943 0.9730
2 La 0.2216 0.6944 0.4432
3 La 0.2671 0.3014 0.5342
4 La 0.7515 0.6943 0.9730
5 La 0.2485 0.3057 0.0270
6 La 0.7329 0.6986 0.4658
7 La 0.7784 0.3056 0.5568
8 La 0.7785 0.3057 0.0270
9 Ru 0.0000 0.5000 0.0000
10 Au 0.5000 0.5000 0.0000
11 Au 0.5000 0.5000 0.5000
12 Au 0.0000 0.5000 0.5000
13 I 0.5000 0.0000 0.0000
14 I 0.5000 0.0000 0.5000
15 I 0.0000 0.0000 0.0000
16 I 0.0000 0.0000 0.5000

## Properties
The space group is R-3m (166). As for the theoretical density: 7.0 g/cm3. The calculation puts the density of states at the Fermi level at 15.68 states/eV/f.u. Its crystal system is trigonal. The calculation puts the formation energy from raw total energies at -906 meV/atom. The value obtained for the raw total energy is -4.95 eV per atom.

=====

This record from Alexandria via LeMat-Bulk describes BaRhPb2 after structural relaxation. The functional is PBE.

Lattice parameters (Å, degrees): 4.6623 4.6623 6.8985 70.21 70.21 60.08
Atoms (fractional coordinates):
1 Pb 0.0340 0.0340 0.8977
2 Pb 0.4660 0.4660 0.6023
3 Rh 0.7500 0.7500 0.7500
4 Ba 0.2500 0.2500 0.2500

## Properties
The space group is C2/m (12). As for the theoretical density: 9.1 g/cm3. The calculation puts the energy of formation from the pure elements at -0.319 eV per atom. The calculation puts the density of states at the Fermi level at 3.66 states/eV/f.u. Its crystal system is monoclinic. The value obtained for the raw total energy is -4.49 eV per atom.

=====

This record from Alexandria via LeMat-Bulk describes Al2RhAu after structural relaxation. The functional is PBE.

Lattice parameters (Å, degrees): 3.2003 4.3179 4.8547 105.79 109.23 90.03
Atoms (fractional coordinates):
1 Rh 0.2158 0.5302 0.8736
2 Au 0.4504 0.1505 0.3444
3 Al 0.9466 0.6438 0.3358
4 Al 0.7064 0.0042 0.8557

## Properties
The space group is Cm (8). As for the theoretical density: 9.7 g/cm3. The calculation puts the energy of formation from the pure elements at -0.665 eV per atom. The calculation puts the density of states at the Fermi level at 1.77 states/eV/f.u. Its crystal system is monoclinic. For the relative energy among the computed polymorphs, the calculation gives 14 meV per atom. The value obtained for the raw total energy is -5.19 eV per atom.

=====

This record from Alexandria via LeMat-Bulk describes Cr2OsAu after structural relaxation. The functional is PBE.

Lattice parameters (Å, degrees): 4.6700 4.6700 4.7517 79.71 79.71 34.63
Atoms (fractional coordinates):
1 Au 0.2500 0.2500 0.2500
2 Cr 0.0045 0.0045 0.9377
3 Cr 0.4955 0.4955 0.5623
4 Os 0.7500 0.7500 0.7500

## Properties
The space group is C2/m (12). As for the theoretical density: 14.1 g/cm3. The calculation puts the energy of formation from the pure elements at 0.369 eV per atom. The calculation puts the density of states at the Fermi level at 4.10 states/eV/f.u. Its crystal system is monoclinic. The value obtained for the raw total energy is -8.07 eV per atom.

=====

This record from Alexandria via LeMat-Bulk describes SbP2SeO after structural relaxation. The functional is PBE.

Lattice parameters (Å, degrees): 4.9038 4.9038 3.7780 90.00 90.00 90.00
Atoms (fractional coordinates):
1 Sb 0.5000 0.5000 0.5000
2 O 0.0000 0.0000 0.5000
3 Se 0.0000 0.0000 0.0000
4 P 0.0000 0.5000 0.0000
5 P 0.5000 0.0000 0.0000

## Properties
The space group is P4/mmm (123). As for the theoretical density: 5.1 g/cm3. The calculation puts the density of states at the Fermi level at 3.06 states/eV/f.u. Its crystal system is tetragonal. The calculation puts the formation energy from raw total energies at 403 meV/atom. For the relative energy among the computed polymorphs, the calculation gives 0 meV per atom. The value obtained for the raw total energy is -4.27 eV per atom.

=====

This record from Alexandria via LeMat-Bulk describes Sc2ZnFe after structural relaxation. The functional is PBE.

Lattice parameters (Å, degrees): 5.1735 5.1735 5.1735 134.43 134.43 66.41
Last column: magnetic moment on the atom in μB.
Atoms (fractional coordinates):
1 Fe 0.7500 0.2500 0.5000  2.04
2 Sc 0.0000 0.0000 0.0000  -0.30
3 Sc 0.2500 0.7500 0.5000  -0.36
4 Zn 0.5000 0.5000 0.0000  -0.04

## Properties
The space group is I-4m2 (119). As for the theoretical density: 5.0 g/cm3. The calculation puts the energy of formation from the pure elements at -0.047 eV per atom. The calculation puts the density of states at the Fermi level at 3.24 states/eV/f.u. Its crystal system is tetragonal. The value obtained for the raw total energy is -5.65 eV per atom.

=====

This record from Alexandria via LeMat-Bulk describes LiPa2S6 after structural relaxation. The functional is PBE.

Lattice parameters (Å, degrees): 4.0530 7.1768 7.1768 120.00 90.00 90.00
Atoms (fractional coordinates):
1 Li 0.5000 0.0000 0.0000
2 Pa 0.2513 0.6667 0.3333
3 Pa 0.7487 0.3333 0.6667
4 S 0.2494 0.6144 0.7001
5 S 0.2494 0.0858 0.3856
6 S 0.2494 0.2999 0.9142
7 S 0.7506 0.3856 0.2999
8 S 0.7506 0.9142 0.6144
9 S 0.7506 0.7001 0.0858

## Properties
The space group is P-3 (147). As for the theoretical density: 6.1 g/cm3. The calculation puts the density of states at the Fermi level at 5.96 states/eV/f.u. Its crystal system is trigonal. The calculation puts the formation energy from raw total energies at -1378 meV/atom. For the relative energy among the computed polymorphs, the calculation gives 0 meV per atom. The value obtained for the raw total energy is -6.45 eV per atom.

=====

This record from Alexandria via LeMat-Bulk describes SiTc2Te after structural relaxation. The functional is PBE.

Lattice parameters (Å, degrees): 4.2356 4.2356 5.6492 77.49 77.49 42.98
Atoms (fractional coordinates):
1 Si 0.7500 0.7500 0.7500
2 Tc 0.0115 0.0115 0.9446
3 Tc 0.4885 0.4885 0.5554
4 Te 0.2500 0.2500 0.2500

## Properties
The space group is C2/m (12). As for the theoretical density: 8.7 g/cm3. The calculation puts the density of states at the Fermi level at 2.76 states/eV/f.u. Its crystal system is monoclinic. The calculation puts the formation energy from raw total energies at 121 meV/atom. For the relative energy among the computed polymorphs, the calculation gives 126 meV per atom. The value obtained for the raw total energy is -7.20 eV per atom.

=====

This record from Alexandria via LeMat-Bulk describes KLiNiGe2 after structural relaxation. The functional is PBE.

Lattice parameters (Å, degrees): 4.6082 4.6082 5.0637 90.00 90.00 90.00
Atoms (fractional coordinates):
1 Ni 0.0000 0.0000 0.0000
2 Ge 0.0000 0.5000 0.0000
3 Ge 0.5000 0.0000 0.0000
4 K 0.5000 0.5000 0.5000
5 Li 0.0000 0.0000 0.5000

## Properties
The space group is P4/mmm (123). As for the theoretical density: 3.9 g/cm3. The calculation puts the energy of formation from the pure elements at -0.052 eV per atom. The calculation puts the density of states at the Fermi level at 3.90 states/eV/f.u. Its crystal system is tetragonal. For the relative energy among the computed polymorphs, the calculation gives 0 meV per atom. The value obtained for the raw total energy is -3.66 eV per atom.

=====

This record from Alexandria via LeMat-Bulk describes SrScAs2 after structural relaxation. The functional is PBE.

Lattice parameters (Å, degrees): 4.1461 4.1461 7.2870 73.28 73.28 60.32
Atoms (fractional coordinates):
1 As 0.0153 0.0153 0.9548
2 As 0.4847 0.4847 0.5452
3 Sc 0.7500 0.7500 0.7500
4 Sr 0.2500 0.2500 0.2500

## Properties
The space group is C2/m (12). As for the theoretical density: 4.6 g/cm3. The calculation puts the energy of formation from the pure elements at -1.090 eV per atom. The calculation puts the density of states at the Fermi level at 3.26 states/eV/f.u. Its crystal system is monoclinic. For the relative energy among the computed polymorphs, the calculation gives 0 meV per atom. The value obtained for the raw total energy is -5.42 eV per atom.

=====

- What is the theoretical density in the seventh record?
  6.1 g/cm3

=====

- What is the theoretical density in the eighth record?
  8.7 g/cm3